VASP calculation (PBE-GGA) on a relaxed structure of RePb7.

**Mass density**: 11.866 g/cm3
**VASP energy**: -4.232 eV per atom
**Total moment**: 2.7 μB/f.u.
**Crystal system**: cubic
**Calculated formation energy**: 0.5692 eV per atom

Unit cell a=6.868 b=6.868 c=6.868 alpha=60.00 beta=60.00 gamma=60.00
Fractional positions:
Pb 0.000 0.500 0.500
Pb 0.500 0.500 0.500
Pb 0.500 0.000 0.000
Pb 0.500 0.500 0.000
Re 0.000 0.000 0.000
Pb 0.000 0.000 0.500
Pb 0.500 0.000 0.500
Pb 0.000 0.500 0.000